Entry 1:
VASP calculation (GGA-PBE) on crystalline ErTmIr at its relaxed geometry.

Total moment, μB per atom: 0.00
Fermi-level density of states, states/eV/f.u.: 2.2
Energy of formation from the pure elements, eV/f.u.: -2.28

a b c (Å): 4.7500 4.7497 6.7154
angles (deg): 90.07 90.05 90.00
Closest atoms and distances in Å follow each position.
Sites, in units of the cell vectors:
Er 0.0004 0.4996 0.7500  4 Ir 2.91
Er 0.9996 0.5004 0.2500  4 Ir 2.91
Tm 0.5002 0.9998 0.7500  4 Ir 2.91
Tm 0.4998 0.0002 0.2500  4 Ir 2.91
Ir 0.5000 0.5000 0.5000  4 Tm 2.91, 4 Er 2.91
Ir 0.0000 0.0000 0.0000  4 Tm 2.91, 4 Er 2.91

=====

Entry 2:
VASP calculation (GGA-PBE) on crystalline BaHg2SbAu at its relaxed geometry.

Total moment, μB per atom: 0.00
Fermi-level density of states, states/eV/f.u.: 2.1
Total DFT energy (no corrections), eV/atom: -2.276

a b c (Å): 5.3558 5.3558 5.7583
angles (deg): 90.00 90.00 90.00
Closest atoms and distances in Å follow each position.
Sites, in units of the cell vectors:
Sb 0.0000 0.0000 0.5000  2 Au 2.88
Hg 0.0000 0.5000 0.0000  2 Au 2.68
Hg 0.5000 0.0000 0.0000  2 Au 2.68
Ba 0.5000 0.5000 0.5000  4 Sb 3.79, 8 Hg 3.93
Au 0.0000 0.0000 0.0000  4 Hg 2.68, 2 Sb 2.88

=====

Entry 3:
VASP calculation (GGA-PBE) on crystalline BaTb2Tm at its relaxed geometry.

Total moment, μB per atom: 0.00
Fermi-level density of states, states/eV/f.u.: 5.4
Energy of formation from the pure elements, eV/f.u.: 0.62

a b c (Å): 3.6928 3.6928 10.6909
angles (deg): 90.00 90.00 90.00
Closest atoms and distances in Å follow each position.
Sites, in units of the cell vectors:
Tb 0.0000 0.0000 0.2146  4 Tm 3.48, 4 Tb 3.69
Tb 0.0000 0.0000 0.7854  4 Tm 3.48, 4 Tb 3.69
Ba 0.5000 0.5000 0.5000  4 Ba 3.69, 8 Tb 4.02
Tm 0.5000 0.5000 0.0000  8 Tb 3.48, 4 Tm 3.69